Entry 1:
Compound: NaTl2Ga2
Source: Alexandria
Functional: PBE
Structure: relaxed

- Offset from the most stable computed form: 0.092 eV/f.u.
- Density of states at the Fermi level: 2.2 states/eV/f.u.
- Uncorrected energy: -2.41 eV/atom

```
data_NaTl2Ga2
_cell_length_a 8.277
_cell_length_b 8.277
_cell_length_c 3.785
_cell_angle_alpha 90.00
_cell_angle_beta 90.00
_cell_angle_gamma 90.00
_symmetry_space_group_name_H-M 'P 4/m b m'
_symmetry_Int_Tables_number 127
_symmetry_space_group_name_Hall '-P 4 2ab'
loop_
_atom_site_label
_atom_site_type_symbol
_atom_site_fract_x
_atom_site_fract_y
_atom_site_fract_z
Na1 Na 0.000 0.000 0.000
Tl1 Tl 0.182 0.318 0.500
Ga1 Ga 0.117 0.617 0.000
```


Entry 2:
Compound: CoPAu4
Source: Alexandria
Functional: PBE
Structure: relaxed

- Density of states at the Fermi level: 4.0 states/eV/f.u.
- Uncorrected energy: -3.59 eV/atom

```
data_CoPAu4
_cell_length_a 7.700
_cell_length_b 7.700
_cell_length_c 7.700
_cell_angle_alpha 90.00
_cell_angle_beta 90.00
_cell_angle_gamma 90.00
_symmetry_space_group_name_H-M 'F -4 3 m'
_symmetry_Int_Tables_number 216
_symmetry_space_group_name_Hall 'F -4 2 3'
loop_
_atom_site_label
_atom_site_type_symbol
_atom_site_fract_x
_atom_site_fract_y
_atom_site_fract_z
Co1 Co 0.000 0.000 0.000
P1 P 0.250 0.250 0.750
Au1 Au 0.125 0.125 0.375
```


Entry 3:
Compound: ReAg2Os
Source: Alexandria
Functional: PBE
Structure: relaxed

- Offset from the most stable computed form: 2.263 eV/f.u.
- Density of states at the Fermi level: 4.2 states/eV/f.u.
- Uncorrected energy: -6.50 eV/atom

```
data_ReAg2Os
_cell_length_a 3.743
_cell_length_b 3.743
_cell_length_c 9.167
_cell_angle_alpha 90.00
_cell_angle_beta 90.00
_cell_angle_gamma 90.00
_symmetry_space_group_name_H-M 'I 4/m m m'
_symmetry_Int_Tables_number 139
_symmetry_space_group_name_Hall '-I 4 2'
loop_
_atom_site_label
_atom_site_type_symbol
_atom_site_fract_x
_atom_site_fract_y
_atom_site_fract_z
Re1 Re 0.000 0.000 0.000
Ag1 Ag 0.000 0.500 0.250
Os1 Os 0.000 0.000 0.500
```